(1)
Compound: Pm3Ga2Pt3
Source: Alexandria via LeMat-Bulk
Functional: PBE
Structure: optimized geometry

Computed properties:
Space-group type   No. 63
Calculated volume   349.5 Å³ per cell
E_form   -100 kJ per mole of atoms
Size of the total moment   0.000 μB/atom

```
Pm3Ga2Pt3
1.0
2.1964 -5.4331 0.0000
2.1964 5.4331 0.0000
0.0000 0.0000 14.6436
Pm Ga Pt
6 4 6
Direct
0.0803 0.9197 0.6058
0.0803 0.9197 0.8942
0.3653 0.6347 0.7500
0.6347 0.3653 0.2500
0.9197 0.0803 0.1058
0.9197 0.0803 0.3942
0.2172 0.7828 0.0931
0.2172 0.7828 0.4069
0.7828 0.2172 0.5931
0.7828 0.2172 0.9069
0.3384 0.6616 0.2500
0.3853 0.6147 0.5450
0.3853 0.6147 0.9550
0.6147 0.3853 0.0450
0.6147 0.3853 0.4550
0.6616 0.3384 0.7500
```

---

(2)
Compound: PmGa3Pt5
Source: Alexandria via LeMat-Bulk
Functional: PBE
Structure: optimized geometry

Computed properties:
Space-group type   No. 63
Calculated volume   338.4 Å³ per cell
E_form   -68 kJ per mole of atoms
Size of the total moment   0.000 μB/atom

```
PmGa3Pt5
1.0
1.9546 -6.5968 0.0000
1.9546 6.5968 0.0000
0.0000 0.0000 13.1239
Pm Ga Pt
2 6 10
Direct
0.1181 0.8819 0.7500
0.8819 0.1181 0.2500
0.1280 0.8720 0.2500
0.3780 0.6220 0.0363
0.3780 0.6220 0.4637
0.6220 0.3780 0.5363
0.6220 0.3780 0.9637
0.8720 0.1280 0.7500
0.0000 0.0000 0.0000
0.0000 0.0000 0.5000
0.1993 0.8007 0.0749
0.1993 0.8007 0.4251
0.4616 0.5384 0.6482
0.4616 0.5384 0.8518
0.5384 0.4616 0.1482
0.5384 0.4616 0.3518
0.8007 0.1993 0.5749
0.8007 0.1993 0.9251
```

---

> calculated volume of number 1 (Pm3Ga2Pt3)?

349.5 Å³ per cell